# Hg2GeRhAu (PBE, relaxed)
# Raw total energy = -2.266 eV per atom
# Energy relative to the elements = 4.52 eV/f.u.
# Theoretical density = 9.7 g/cm3
# Magnetic moment = 0.00 μB/atom
# Space group = No. 123
data_Hg2GeRhAu
_chemical_formula_sum 'Hg2 Ge1 Rh1 Au1'
_symmetry_space_group_name_H-M 'P 1'
_symmetry_Int_Tables_number 1
_cell_length_a 5.236
_cell_length_b 5.236
_cell_length_c 4.819
_cell_angle_alpha 90.00
_cell_angle_beta 90.00
_cell_angle_gamma 90.00
loop_
_symmetry_equiv_pos_as_xyz
'x,y,z'
loop_
_atom_site_label
_atom_site_fract_x
_atom_site_fract_y
_atom_site_fract_z
Hg1 0.000 0.500 0.000
Hg2 0.500 0.000 0.000
Ge1 0.000 0.000 0.500
Rh1 0.500 0.500 0.500
Au1 0.000 0.000 0.000